(1)
First-principles (PBE) data for an optimized crystal structure of FeOs2PtN, as listed in Alexandria.

abc: 4.948 3.526 4.948
angles: 90.00 90.00 90.00
Sites, in units of the cell vectors:
N1 0.000 0.500 0.000
Os1 0.000 0.000 0.500
Os2 0.500 0.000 0.000
Pt1 0.000 0.000 0.000
Fe1 0.500 0.500 0.500

Output
- ΔE_f (raw): 2.59 eV per atom
- Calculated volume: 17.26 Å³/atom
- Spin magnetization: 0.02 μB/cell

(2)
First-principles (PBE) data for an optimized crystal structure of Pr2Al2Cd3, as listed in Alexandria.

abc: 3.558 4.514 11.163
angles: 101.67 90.00 90.00
Sites, in units of the cell vectors:
Cd1 0.000 0.000 0.000
Cd2 0.500 0.430 0.860
Cd3 0.500 0.570 0.140
Al1 0.500 0.281 0.562
Al2 0.500 0.719 0.438
Pr1 0.000 0.842 0.683
Pr2 0.000 0.158 0.317

Output
- Formation enthalpy at 0 K: -0.279 eV per atom
- Calculated volume: 25.08 Å³/atom
- Spin magnetization: 0.00 μB/cell